[1]
Density functional theory data (PBE-GGA) for a relaxed structure of SiNiHg4.

Total moment in μB/f.u.: 0.002
Energy relative to the elements, uncorrected in eV per atom: 0.7471

abc: 5.7338 5.7338 5.7338
angles: 60.00 60.00 60.00
Positions (direct):
Si 0.0000 0.0000 0.0000
Ni 0.7500 0.7500 0.7500
Hg 0.8742 0.3753 0.3753
Hg 0.3753 0.3753 0.8742
Hg 0.3753 0.8742 0.3753
Hg 0.3753 0.3753 0.3753



[2]
Density functional theory data (PBE-GGA) for a relaxed structure of KRb2AgPd.

Total moment in μB/f.u.: 0.000
Formation energy in eV per atom: 0.160

abc: 6.3852 6.3852 5.4552
angles: 90.00 90.00 90.00
Positions (direct):
K 0.5000 0.5000 0.5000
Rb 0.0000 0.5000 0.0000
Rb 0.5000 0.0000 0.0000
Pd 0.0000 0.0000 0.0000
Ag 0.0000 0.0000 0.5000



> Look up the total moment of the second one.

0.000 μB/f.u.



> What is the formula in the second record?

KRb2AgPd